Here is a crystal of CdCo2Ir relaxed with PBEsol from Alexandria. Energies are from meta-GGA SCAN.

Results
ΔH_f (0 K): 0.27 eV per atom
Uncorrected energy: -135.03 eV per cell

a = 2.6499 Å, b = 2.6499 Å, c = 8.7870 Å
α = 90.00°, β = 90.00°, γ = 116.35°
Site moments in Bohr magnetons follow the coordinates.
Positions (direct):
Ir 0.5000 0.5000 0.5000  0.54
Co 0.0000 0.0000 0.2632  1.98
Co 0.0000 0.0000 0.7368  1.98
Cd 0.5000 0.5000 0.0000  -0.02

=====

Here is a crystal of RhSe2ClF relaxed with PBEsol from Alexandria. Energies are from meta-GGA SCAN.

Results
Formation energy (no corrections): 0.58 eV per atom
Uncorrected energy: -82.57 eV per cell

a = 4.2307 Å, b = 4.2307 Å, c = 5.2053 Å
α = 90.00°, β = 90.00°, γ = 90.00°
Site moments in Bohr magnetons follow the coordinates.
Positions (direct):
F 0.0000 0.0000 0.0000  0.01
Rh 0.5000 0.5000 0.5000  2.03
Se 0.0000 0.5000 0.0000  0.24
Se 0.5000 0.0000 0.0000  0.24
Cl 0.0000 0.0000 0.5000  0.17